Here is a PBEsol-optimized structure of Rb3Na from Alexandria. Energies are from SCAN.

abc: 6.587 6.587 6.587
angles: 90.00 90.00 90.00
Fractional coordinates of all 4 atoms:
Rb1 0.000 0.500 0.500
Rb2 0.500 0.000 0.500
Na1 0.000 0.000 0.000
Rb3 0.500 0.500 0.000

Summary:
Total magnetic moment in Bohr magnetons per cell: 0.05
DFT formation energy in eV per atom: 0.028
Raw total energy in eV per atom: -16.581

***

Here is a PBEsol-optimized structure of Co2AuCl from Alexandria. Energies are from SCAN.

abc: 2.970 2.970 6.798
angles: 90.00 90.00 90.00
Fractional coordinates of all 4 atoms:
Cl1 0.500 0.500 0.833
Co1 0.000 0.000 0.032
Au1 0.000 0.000 0.437
Co2 0.500 0.500 0.199

Summary:
Total magnetic moment in Bohr magnetons per cell: 3.93
Distance to the lowest polymorph of the same formula in eV per atom: 0.000
Raw total energy in eV per atom: -27.752
Raw formation energy in eV per atom: 0.184

***

Here is a PBEsol-optimized structure of MgCu4Ir from Alexandria. Energies are from SCAN.

abc: 4.744 4.744 4.744
angles: 60.00 60.00 60.00
Fractional coordinates of all 6 atoms:
Cu1 0.375 0.874 0.375
Ir1 0.750 0.750 0.750
Cu2 0.874 0.375 0.375
Mg1 0.000 0.000 0.000
Cu3 0.375 0.375 0.375
Cu4 0.375 0.375 0.874

Summary:
Total magnetic moment in Bohr magnetons per cell: 0.00
DFT formation energy in eV per atom: -0.050
Raw total energy in eV per atom: -22.861